ScTlPd4 after structural relaxation, computed with PBE.

For the energy of formation, the calculation gives -0.505 eV/atom. For the size of the total moment, the calculation gives 0.0 μB per formula unit.

The structure belongs to space group C2/m (No. 12); the cell edges are 4.9147, 8.7847 and 4.9421 Å and the angles 90.00°, 104.64° and 90.00°. The inequivalent atoms are Sc at (0.0000, 0.0000, 0.0000), Tl at (0.0000, 0.5000, 0.5000), Pd at (0.0000, 0.1650, 0.5000) and Pd at (0.0000, 0.3333, 0.0000).